# 1
# BaLa2Rh PBE relaxed
# Energy of formation from the pure elements: -0.40 eV per atom
data_BaLa2Rh
_chemical_formula_sum 'Ba3 La6 Rh3'
_cell_length_a 4.2506
_cell_length_b 4.2506
_cell_length_c 30.5961
_cell_angle_alpha 90.00
_cell_angle_beta 90.00
_cell_angle_gamma 120.00
_space_group_name_H-M_alt 'R -3 m'
_space_group_IT_number 166
_space_group_name_Hall '-R 3 2"'
loop_
_atom_site_label
_atom_site_fract_x
_atom_site_fract_y
_atom_site_fract_z
Ba1 0.0000 0.0000 0.0000
La1 0.0000 0.0000 0.2161
Rh1 0.0000 0.0000 0.5000

# 2
# YGaP3 PBE relaxed
# Energy of formation from the pure elements: 0.14 eV per atom
data_YGaP3
_chemical_formula_sum 'Y1 Ga1 P3'
_cell_length_a 4.7043
_cell_length_b 4.7043
_cell_length_c 4.7043
_cell_angle_alpha 90.00
_cell_angle_beta 90.00
_cell_angle_gamma 90.00
_space_group_name_H-M_alt 'P m -3 m'
_space_group_IT_number 221
_space_group_name_Hall '-P 4 2 3'
loop_
_atom_site_label
_atom_site_fract_x
_atom_site_fract_y
_atom_site_fract_z
Y1 0.0000 0.0000 0.0000
Ga1 0.5000 0.5000 0.5000
P1 0.0000 0.5000 0.5000

# 3
# SrGe3B4O12 PBE relaxed
# Formation energy (no corrections): -1.985 eV per atom
data_SrGe3B4O12
_chemical_formula_sum 'Sr3 Ge9 B12 O36'
_cell_length_a 9.7034
_cell_length_b 9.7034
_cell_length_c 8.0073
_cell_angle_alpha 90.00
_cell_angle_beta 90.00
_cell_angle_gamma 120.00
_space_group_name_H-M_alt 'R 3 2'
_space_group_IT_number 155
_space_group_name_Hall 'R 3 2"'
loop_
_atom_site_label
_atom_site_fract_x
_atom_site_fract_y
_atom_site_fract_z
Sr1 0.0000 0.0000 0.0000
Ge1 0.0000 0.5447 0.0000
B1 0.0000 0.0000 0.5000
B2 0.0000 0.4465 0.5000
O1 0.0000 0.5926 0.5000
O2 0.0000 0.8557 0.5000
O3 0.0231 0.2137 0.1948

# 4
# Al2CrCl8 PBE relaxed
# Formation energy (no corrections): -1.367 eV per atom
data_Al2CrCl8
_chemical_formula_sum 'Al4 Cr2 Cl16'
_cell_length_a 12.1654
_cell_length_b 9.5005
_cell_length_c 6.2936
_cell_angle_alpha 90.00
_cell_angle_beta 91.43
_cell_angle_gamma 90.00
_space_group_name_H-M_alt 'C 1 2/m 1'
_space_group_IT_number 12
loop_
_space_group_symop_operation_xyz
'x,y,z'
'-x,-y,-z'
'-x,y,-z'
'x,-y,z'
'x+1/2,y+1/2,z'
'-x+1/2,-y+1/2,-z'
'-x+1/2,y+1/2,-z'
'x+1/2,-y+1/2,z'
loop_
_atom_site_label
_atom_site_fract_x
_atom_site_fract_y
_atom_site_fract_z
Al1 0.1998 0.0000 0.1698
Cr1 0.0000 0.0000 0.5000
Cl1 0.1016 0.1728 0.3094
Cl2 0.1361 0.5000 0.7197
Cl3 0.1822 0.0000 0.8314

# 5
# KP2Au PBE relaxed
# Energy of formation from the pure elements: 0.54 eV per atom
data_KP2Au
_chemical_formula_sum 'K1 P2 Au1'
_cell_length_a 4.3210
_cell_length_b 4.3210
_cell_length_c 4.3022
_cell_angle_alpha 90.00
_cell_angle_beta 90.00
_cell_angle_gamma 90.00
_space_group_name_H-M_alt 'P 4/m m m'
_space_group_IT_number 123
_space_group_name_Hall '-P 4 2'
loop_
_atom_site_label
_atom_site_fract_x
_atom_site_fract_y
_atom_site_fract_z
K1 0.0000 0.0000 0.0000
P1 0.0000 0.5000 0.5000
Au1 0.5000 0.5000 0.0000

# 6
# Tb2PmSm4 PBE relaxed
# Energy of formation from the pure elements: 0.12 eV per atom
data_Tb2PmSm4
_chemical_formula_sum 'Tb4 Pm2 Sm8'
_cell_length_a 6.1557
_cell_length_b 6.6570
_cell_length_c 11.7611
_cell_angle_alpha 90.00
_cell_angle_beta 104.86
_cell_angle_gamma 90.00
_space_group_name_H-M_alt 'P 1 21/m 1'
_space_group_IT_number 11
loop_
_space_group_symop_operation_xyz
'x,y,z'
'-x,-y,-z'
'-x,y+1/2,-z'
'x,-y+1/2,z'
loop_
_atom_site_label
_atom_site_fract_x
_atom_site_fract_y
_atom_site_fract_z
Tb1 0.0991 0.2500 0.0008
Tb2 0.3537 0.7500 0.5628
Pm1 0.4933 0.7500 0.1524
Sm1 0.1415 0.0000 0.2872
Sm2 0.2075 0.2500 0.5598
Sm3 0.3429 0.7500 0.8500

| no. | electronic total energy (eV per cell) |
| --- | --- |
| 1 | -62.22 |
| 2 | -25.03 |
| 3 | -424.34 |
| 4 | -93.83 |
| 5 | -13.05 |
| 6 | -64.05 |